Record 1
The following is a DFT calculation (PBE) of an optimized crystal structure of MnAgBr2.

Calculated values
Formation energy (no corrections): -205 meV/atom
Fermi-level density of states: 0.8 states/eV/f.u.
Distance to the lowest polymorph of the same formula: 0.0323 eV/atom
Mass density: 4.68 g/cm3

Lattice parameters (Å, degrees): 3.5956 4.6933 13.5710 90.00 90.00 90.00
Last column: nearest neighbours and their distance in Å.
Space group Immm (No. 71)
Unique sites:
Mn 0.0000 0.0000 0.0000 x2  4 Br 2.60
Ag 0.0000 0.0000 0.5000 x2  4 Mn 2.96, 4 Br 3.00
Br 0.0000 0.5000 0.3618 x4  2 Mn 2.60


Record 2
The following is a DFT calculation (PBE) of an optimized crystal structure of Pr2InAgSe5.

Calculated values
Formation energy (no corrections): -1179 meV/atom
Mass density: 6.51 g/cm3

Lattice parameters (Å, degrees): 4.1867 18.2500 12.0098 90.00 90.00 90.00
Last column: nearest neighbours and their distance in Å.
Space group Cmc2_1 (No. 36)
Unique sites:
Pr 0.0000 0.1184 0.0000 x4  8 Se 3.06-3.30
Pr 0.0000 0.1244 0.3775 x4  8 Se 3.07-3.23
In 0.0000 0.4093 0.1757 x4  4 Se 2.63-2.73
Ag 0.0000 0.2262 0.7046 x4  3 Se 2.62-2.84
Se 0.0000 0.0337 0.7760 x4  2 In 2.63
Se 0.0000 0.2982 0.0297 x4  1 In 2.68, 2 Ag 3.00
Se 0.0000 0.3012 0.3594 x4  2 Ag 2.84, 1 In 2.96, 2 Pr 3.06
Se 0.0000 0.3693 0.6910 x4  1 Ag 2.62
Se 0.0000 0.4871 0.9816 x4  1 In 2.73


Record 3
The following is a DFT calculation (PBE) of an optimized crystal structure of TaNb2Cu2.

Calculated values
Fermi-level density of states: 5.6 states/eV/f.u.
Mass density: 10.24 g/cm3
DFT formation energy: 189.4 meV/atom

Lattice parameters (Å, degrees): 7.2543 7.2543 3.0428 90.00 90.00 90.00
Last column: nearest neighbours and their distance in Å.
Space group P4/mbm (No. 127)
Unique sites:
Ta 0.0000 0.0000 0.0000 x2  4 Cu 2.90, 2 Ta 3.04, 8 Nb 3.07
Nb 0.1804 0.3196 0.5000 x4  6 Cu 2.57-2.68
Cu 0.1177 0.6177 0.0000 x4  1 Cu 2.41, 6 Nb 2.57-2.68


Record 4
The following is a DFT calculation (PBE) of an optimized crystal structure of Ba2YI7.

Calculated values
Formation energy (no corrections): -1614 meV/atom
Fermi-level density of states: 0.0 states/eV/f.u.
Distance to the lowest polymorph of the same formula: 0.0000 eV/atom
Mass density: 4.31 g/cm3

Lattice parameters (Å, degrees): 8.5085 14.8068 15.4984 90.00 98.45 90.00
Last column: nearest neighbours and their distance in Å.
Space group P2_1 (No. 4)
Unique sites:
Ba 0.1280 0.0000 0.1900 x2  7 I 3.46-3.74
Ba 0.1848 0.1754 0.6880 x2  7 I 3.46-3.75
Ba 0.2573 0.7584 0.8440 x2  8 I 3.51-3.75
Ba 0.2884 0.4283 0.3379 x2  8 I 3.53-3.81
Y 0.3750 0.4669 0.9383 x2  6 I 3.02-3.06
Y 0.3809 0.7133 0.4479 x2  6 I 3.02-3.08
I 0.0858 0.9769 0.7845 x2  3 Ba 3.46-3.61
I 0.1115 0.5841 0.4703 x2  1 Y 3.04
I 0.1179 0.2150 0.2756 x2  3 Ba 3.46-3.55
I 0.1179 0.5936 0.9872 x2  1 Y 3.06
I 0.1247 0.8475 0.3697 x2  1 Y 3.06
I 0.1437 0.3119 0.8823 x2  1 Y 3.06
I 0.2651 0.5310 0.7517 x2  1 Y 3.06
I 0.3386 0.8469 0.0732 x2  1 Y 3.04
I 0.3454 0.3413 0.5618 x2  1 Y 3.02
I 0.3745 0.7837 0.6316 x2  1 Y 3.04
I 0.3857 0.0593 0.5193 x2  1 Y 3.02
I 0.3876 0.6520 0.2588 x2  1 Y 3.08
I 0.3965 0.1229 0.0592 x2  1 Y 3.02
I 0.4100 0.4055 0.1280 x2  1 Y 3.05


Record 5
The following is a DFT calculation (PBE) of an optimized crystal structure of BaCu2Mo.

Calculated values
Fermi-level density of states: 4.0 states/eV/f.u.
Distance to the lowest polymorph of the same formula: 0.4107 eV/atom
Mass density: 6.04 g/cm3
DFT formation energy: 863.9 meV/atom

Lattice parameters (Å, degrees): 4.8272 4.8272 17.0160 90.00 90.00 90.00
Last column: nearest neighbours and their distance in Å.
Space group I4_1/amd (No. 141, origin choice 2)
Unique sites:
Ba 0.0000 0.2500 0.3750 x4  4 Mo 3.41, 8 Cu 3.44
Cu 0.0000 0.0000 0.0000 x8  2 Cu 2.41, 2 Mo 2.45
Mo 0.0000 0.2500 0.8750 x4  4 Cu 2.45


Record 6
The following is a DFT calculation (PBE) of an optimized crystal structure of NdAlRu2C.

Calculated values
Fermi-level density of states: 4.2 states/eV/f.u.
Mass density: 7.74 g/cm3
DFT formation energy: -389.7 meV/atom

Lattice parameters (Å, degrees): 4.0470 11.2126 7.2869 90.00 90.00 90.00
Last column: nearest neighbours and their distance in Å.
Space group Cmcm (No. 63)
Unique sites:
Nd 0.0000 0.0507 0.2500 x4  4 C 2.78, 1 Al 3.11
Al 0.0000 0.2268 0.7500 x4  6 Ru 2.56
Ru 0.0000 0.3366 0.0578 x8  1 C 1.88
C 0.0000 0.5000 0.0000 x4  2 Ru 1.88


Record 7
The following is a DFT calculation (PBE) of an optimized crystal structure of RuRhAu2.

Calculated values
Fermi-level density of states: 6.0 states/eV/f.u.
Distance to the lowest polymorph of the same formula: 0.1950 eV/atom
Mass density: 15.53 g/cm3
DFT formation energy: 343.6 meV/atom

Lattice parameters (Å, degrees): 9.3738 2.8120 4.9212 90.00 99.77 90.00
Last column: nearest neighbours and their distance in Å.
Space group C2/m (No. 12)
Unique sites:
Ru 0.0000 0.0000 0.0000 x2  2 Ru 2.81, 6 Au 2.82-2.83, 4 Rh 2.83
Rh 0.0000 0.5000 0.5000 x2  2 Rh 2.81, 6 Au 2.82-2.84, 4 Ru 2.83
Au 0.2488 0.5000 0.2490 x4  6 Au 2.81-2.84, 3 Rh 2.82-2.84, 3 Ru 2.82-2.83


Record 8
The following is a DFT calculation (PBE) of an optimized crystal structure of Ca2ScTc.

Calculated values
Fermi-level density of states: 8.2 states/eV/f.u.
Distance to the lowest polymorph of the same formula: 1.5743 eV/atom
Mass density: 2.44 g/cm3
DFT formation energy: 1700.5 meV/atom

Lattice parameters (Å, degrees): 6.4982 6.4982 14.3694 90.00 90.00 90.00
Last column: nearest neighbours and their distance in Å.
Space group I-42d (No. 122)
Unique sites:
Ca 0.0137 0.2500 0.1250 x8  2 Tc 2.42
Sc 0.0000 0.0000 0.5000 x4  8 Ca 3.98-4.12
Tc 0.0000 0.0000 0.0000 x4  4 Ca 2.42


| no. | magnetization (μB per cell) |
| --- | --- |
| 1 | 8.1 |
| 2 | 0.0 |
| 3 | 0.0 |
| 4 | 0.0 |
| 5 | 12.6 |
| 6 | 0.0 |
| 7 | 1.7 |
| 8 | 0.0 |